# NaInSiPt

A geometry-optimized NaInSiPt structure (GGA-PBE, OQMD via LeMat-Bulk).

Geometry as extended XYZ:
```
4
Lattice="0.000 3.345 3.345 3.345 0.000 3.345 3.345 3.345 0.000" Properties=species:S:1:pos:R:3 pbc="T T T"
Na 0.000 0.000 0.000
In 3.345 3.345 3.345
Si 5.018 5.018 5.018
Pt 1.673 1.673 1.673
```

Properties
- crystal system = cubic
- DFT total energy (eV/cell) = -15.21

# NaInSiPt

A geometry-optimized NaInSiPt structure (GGA-PBE, OQMD via LeMat-Bulk).

Geometry as extended XYZ:
```
4
Lattice="0.000 3.284 3.284 3.284 0.000 3.284 3.284 3.284 0.000" Properties=species:S:1:pos:R:3 pbc="T T T"
Na 0.000 0.000 0.000
In 1.642 1.642 1.642
Si 4.926 4.926 4.926
Pt 3.284 3.284 3.284
```

Properties
- crystal system = cubic
- DFT total energy (eV/cell) = -15.96

# NaInSiPt

A geometry-optimized NaInSiPt structure (GGA-PBE, OQMD via LeMat-Bulk).

Geometry as extended XYZ:
```
4
Lattice="0.000 3.309 3.309 3.309 0.000 3.309 3.309 3.309 0.000" Properties=species:S:1:pos:R:3 pbc="T T T"
Na 0.000 0.000 0.000
In 4.964 4.964 4.964
Si 3.309 3.309 3.309
Pt 1.655 1.655 1.655
```

Properties
- crystal system = cubic
- DFT total energy (eV/cell) = -15.32

# Na4InSnPt2

A geometry-optimized Na4InSnPt2 structure (GGA-PBE, OQMD via LeMat-Bulk).

Geometry as extended XYZ:
```
8
Lattice="4.823 0.000 0.000 0.000 4.823 0.000 0.000 0.000 6.798" Properties=species:S:1:pos:R:3 pbc="T T T"
Na 0.000 0.000 0.000
Na 0.000 2.412 5.081
Na 2.412 0.000 1.716
Na 2.412 2.412 3.399
In 0.000 0.000 3.399
Sn 2.412 2.412 0.000
Pt 0.000 2.412 1.655
Pt 2.412 0.000 5.143
```

Properties
- crystal system = tetragonal
- DFT total energy (eV/cell) = -26.14

# NaTmInSe3

A geometry-optimized NaTmInSe3 structure (GGA-PBE, OQMD via LeMat-Bulk).

Geometry as extended XYZ:
```
12
Lattice="2.095 -7.202 0.000 2.095 7.202 0.000 0.000 0.000 10.841" Properties=species:S:1:pos:R:3 pbc="T T T"
Na 2.095 3.615 8.131
Na 2.095 -3.615 2.710
Tm 2.095 0.000 0.000
Tm 2.095 0.000 5.420
In 2.095 6.689 2.710
In 2.095 -6.689 8.131
Se 2.095 5.254 0.435
Se 2.095 5.254 4.985
Se 2.095 1.291 2.710
Se 2.095 -1.291 8.131
Se 2.095 -5.254 5.855
Se 2.095 -5.254 10.406
```

Properties
- crystal system = orthorhombic
- DFT total energy (eV/cell) = -50.06

# NaSmInTe3

A geometry-optimized NaSmInTe3 structure (GGA-PBE, OQMD via LeMat-Bulk).

Geometry as extended XYZ:
```
12
Lattice="2.229 -7.659 0.000 2.229 7.659 0.000 0.000 0.000 11.498" Properties=species:S:1:pos:R:3 pbc="T T T"
Na 2.229 4.136 8.623
Na 2.229 -4.136 2.874
Sm 0.000 0.000 0.000
Sm 0.000 0.000 5.749
In 2.229 0.353 2.874
In 2.229 -0.353 8.623
Te 2.229 6.041 2.874
Te 2.229 2.185 0.612
Te 2.229 2.185 5.137
Te 2.229 -2.185 6.361
Te 2.229 -2.185 10.886
Te 2.229 -6.041 8.623
```

Properties
- crystal system = orthorhombic
- DFT total energy (eV/cell) = -46.05